[1]
Compound: Li2Al2Cu2PdPt
Source: the Open Quantum Materials Database
Functional: PBE-GGA
Structure: optimized geometry

Output
* total DFT energy (no corrections): -4.318 eV/atom

abc: 4.2029 4.2029 5.9695
angles: 90.00 90.00 90.00
Fractional coordinates of all 8 atoms:
Cu 0.5000 0.5000 0.0000
Cu 0.0000 0.0000 0.5000
Pd 0.0000 0.0000 0.0000
Li 0.0000 0.5000 0.7504
Li 0.5000 0.0000 0.2496
Pt 0.5000 0.5000 0.5000
Al 0.0000 0.5000 0.2532
Al 0.5000 0.0000 0.7468

---

[2]
Compound: Li2ScAl2CuPd2
Source: the Open Quantum Materials Database
Functional: PBE-GGA
Structure: optimized geometry

Output
* total DFT energy (no corrections): -4.487 eV/atom

abc: 4.3817 4.3817 6.2302
angles: 90.00 90.00 90.00
Fractional coordinates of all 8 atoms:
Cu 0.5000 0.5000 0.5000
Pd 0.0000 0.5000 0.2520
Pd 0.5000 0.0000 0.7480
Al 0.5000 0.5000 0.0000
Al 0.0000 0.0000 0.5000
Li 0.0000 0.5000 0.7165
Li 0.5000 0.0000 0.2835
Sc 0.0000 0.0000 0.0000

---

[3]
Compound: Li2ScAl2Cu2Pd
Source: the Open Quantum Materials Database
Functional: PBE-GGA
Structure: optimized geometry

Output
* total DFT energy (no corrections): -4.099 eV/atom

abc: 4.2927 4.2927 6.3374
angles: 90.00 90.00 90.00
Fractional coordinates of all 8 atoms:
Li 0.5000 0.0000 0.2730
Li 0.0000 0.5000 0.7270
Cu 0.0000 0.0000 0.5000
Cu 0.5000 0.5000 0.0000
Pd 0.5000 0.5000 0.5000
Al 0.0000 0.5000 0.2827
Al 0.5000 0.0000 0.7173
Sc 0.0000 0.0000 0.0000

---

Computed density, in the same sequence as the records: 7.8 5.4 4.9 g/cm³.